Below is MoOs2CBr after structural relaxation, with properties calculated at the PBE-GGA level.

Computed properties:
M_tot = 0.30 μB per atom
DOS(E_F) = 1.331 states/eV per atom
E_form (uncorrected) = 3.030 eV/atom
space group = No. 123

Cell: 4.649 3.842 4.649 Å, 90.00 90.00 90.00°
Each line ends with the local moment (μB).
Sites, in units of the cell vectors:
Mo 0.500 0.500 0.500  1.60
Os 0.000 0.000 0.500  -0.06
Os 0.500 0.000 0.000  -0.20
C 0.000 0.500 0.000  -0.04
Br 0.000 0.000 0.000  0.01